# 1
DFT (GGA-PBE) results for a relaxed LiB2Pt2 crystal.

a b c (Å): 4.828 4.828 4.828
angles (deg): 132.91 132.91 68.79
Fractional coordinates of all 5 atoms:
Li1 0.000 0.000 0.000
B1 0.392 0.392 0.000
B2 0.608 0.608 0.000
Pt1 0.250 0.750 0.500
Pt2 0.750 0.250 0.500

Results
* total moment: 0.000 μB/atom
* energy above the most stable polymorph in this dataset: 0 kJ/mol of formula units

# 2
DFT (GGA-PBE) results for a relaxed Li2BPt2 crystal.

a b c (Å): 5.611 5.611 4.388
angles (deg): 90.00 90.00 90.00
Fractional coordinates of all 10 atoms:
Li1 0.162 0.338 0.000
Li2 0.338 0.838 0.000
Li3 0.662 0.162 0.000
Li4 0.838 0.662 0.000
B1 0.000 0.000 0.500
B2 0.500 0.500 0.500
Pt1 0.166 0.666 0.500
Pt2 0.334 0.166 0.500
Pt3 0.666 0.834 0.500
Pt4 0.834 0.334 0.500

Results
* total moment: 0.000 μB/atom
* VASP energy: -5.11 eV per atom

# 3
DFT (GGA-PBE) results for a relaxed LiBPt crystal.

a b c (Å): 3.632 3.632 3.632
angles (deg): 60.00 60.00 60.00
Fractional coordinates of all 3 atoms:
Li1 0.000 0.000 0.000
B1 0.250 0.250 0.250
Pt1 0.500 0.500 0.500

Results
* total moment: 0.000 μB/atom
* VASP energy: -5.14 eV per atom

# 4
DFT (GGA-PBE) results for a relaxed LiB4Pt crystal.

a b c (Å): 3.031 3.031 7.017
angles (deg): 90.00 90.00 120.00
Fractional coordinates of all 6 atoms:
Li1 0.000 0.000 0.000
B1 0.333 0.667 0.251
B2 0.333 0.667 0.749
B3 0.667 0.333 0.251
B4 0.667 0.333 0.749
Pt1 0.000 0.000 0.500

Results
* total moment: 0.001 μB/atom
* energy above the most stable polymorph in this dataset: 41 kJ/mol of formula units

# 5
DFT (GGA-PBE) results for a relaxed Li2BPt crystal.

a b c (Å): 3.909 3.909 3.909
angles (deg): 60.00 60.00 60.00
Fractional coordinates of all 4 atoms:
Li1 0.000 0.000 0.000
Li2 0.250 0.250 0.250
B1 0.500 0.500 0.500
Pt1 0.750 0.750 0.750

Results
* total moment: 0.001 μB/atom
* VASP energy: -4.31 eV per atom

# 6
DFT (GGA-PBE) results for a relaxed LiB4Pt crystal.

a b c (Å): 4.533 4.533 4.533
angles (deg): 141.24 110.23 82.78
Fractional coordinates of all 6 atoms:
Li1 0.000 0.000 0.000
B1 0.074 0.736 0.338
B2 0.398 0.736 0.662
B3 0.602 0.264 0.338
B4 0.926 0.264 0.662
Pt1 0.500 0.500 0.000

Results
* total moment: 0.000 μB/atom
* energy above the most stable polymorph in this dataset: 0 kJ/mol of formula units

# 7
DFT (GGA-PBE) results for a relaxed LiReB4 crystal.

a b c (Å): 5.920 11.390 3.348
angles (deg): 90.00 90.00 90.00
Fractional coordinates of all 24 atoms:
Li1 0.117 0.153 0.000
Li2 0.383 0.653 0.000
Li3 0.617 0.347 0.000
Li4 0.883 0.847 0.000
Re1 0.132 0.415 0.000
Re2 0.368 0.915 0.000
Re3 0.632 0.085 0.000
Re4 0.868 0.585 0.000
B1 0.011 0.700 0.500
B2 0.122 0.553 0.500
B3 0.127 0.968 0.500
B4 0.199 0.813 0.500
B5 0.301 0.313 0.500
B6 0.373 0.468 0.500
B7 0.378 0.053 0.500
B8 0.489 0.200 0.500
B9 0.511 0.800 0.500
B10 0.622 0.947 0.500
B11 0.627 0.532 0.500
B12 0.699 0.687 0.500
B13 0.801 0.187 0.500
B14 0.873 0.032 0.500
B15 0.878 0.447 0.500
B16 0.989 0.300 0.500

Results
* total moment: 0.001 μB/atom
* energy above the most stable polymorph in this dataset: 68 kJ/mol of formula units

# 8
DFT (GGA-PBE) results for a relaxed LiReB crystal.

a b c (Å): 3.588 3.588 3.588
angles (deg): 60.00 60.00 60.00
Fractional coordinates of all 3 atoms:
Li1 0.000 0.000 0.000
Re1 0.500 0.500 0.500
B1 0.250 0.250 0.250

Results
* total moment: 0.314 μB/atom
* energy above the most stable polymorph in this dataset: 0 kJ/mol of formula units

# 9
DFT (GGA-PBE) results for a relaxed LiReB crystal.

a b c (Å): 3.712 3.712 3.712
angles (deg): 60.00 60.00 60.00
Fractional coordinates of all 3 atoms:
Li1 0.000 0.000 0.000
Re1 0.750 0.750 0.750
B1 0.500 0.500 0.500

Results
* total moment: 0.327 μB/atom
* energy above the most stable polymorph in this dataset: 235 kJ/mol of formula units

# 10
DFT (GGA-PBE) results for a relaxed LiReB4 crystal.

a b c (Å): 2.942 2.942 7.010
angles (deg): 90.00 90.00 120.00
Fractional coordinates of all 6 atoms:
Li1 0.000 0.000 0.000
Re1 0.000 0.000 0.500
B1 0.333 0.667 0.256
B2 0.333 0.667 0.744
B3 0.667 0.333 0.256
B4 0.667 0.333 0.744

Results
* total moment: 0.001 μB/atom
* energy above the most stable polymorph in this dataset: 76 kJ/mol of formula units

# 11
DFT (GGA-PBE) results for a relaxed LiReB4 crystal.

a b c (Å): 4.342 4.342 4.342
angles (deg): 139.81 105.91 87.82
Fractional coordinates of all 6 atoms:
Li1 0.000 0.000 0.000
Re1 0.500 0.500 0.000
B1 0.083 0.742 0.341
B2 0.402 0.742 0.659
B3 0.598 0.258 0.341
B4 0.917 0.258 0.659

Results
* total moment: 0.000 μB/atom
* energy above the most stable polymorph in this dataset: 0 kJ/mol of formula units

# 12
DFT (GGA-PBE) results for a relaxed LiReTcB crystal.

a b c (Å): 4.061 4.061 4.061
angles (deg): 60.00 60.00 60.00
Fractional coordinates of all 4 atoms:
Li1 0.000 0.000 0.000
Re1 0.500 0.500 0.500
Tc1 0.750 0.750 0.750
B1 0.250 0.250 0.250

Results
* total moment: 0.000 μB/atom
* energy above the most stable polymorph in this dataset: 0 kJ/mol of formula units